(1)
Compound: La5CuAg4
Source: Alexandria via LeMat-Bulk
Functional: PBE
Structure: relaxed

Unit cell a=3.7594 b=3.7594 c=19.3490 alpha=90.00 beta=90.00 gamma=90.00
With the nearest neighbours (Å) after each atom.
Fractional positions:
Cu1 0.0000 0.0000 0.0000  8 La 3.19
Ag1 0.0000 0.0000 0.6018  8 La 3.31-3.32
Ag2 0.0000 0.0000 0.3982  8 La 3.31-3.32
Ag3 0.0000 0.0000 0.8058  8 La 3.31-3.33
Ag4 0.0000 0.0000 0.1942  8 La 3.31-3.33
La1 0.5000 0.5000 0.5000  8 Ag 3.31
La2 0.5000 0.5000 0.0907  4 Cu 3.19, 4 Ag 3.33, 1 La 3.51
La3 0.5000 0.5000 0.9093  4 Cu 3.19, 4 Ag 3.33, 1 La 3.51
La4 0.5000 0.5000 0.2957  8 Ag 3.31-3.32
La5 0.5000 0.5000 0.7043  8 Ag 3.31-3.32

Total DFT energy (no corrections) = -0.1560 hartree per atom
Space group = P4/mmm, No. 123
Magnetization = 0.00 μB per atom

(2)
Compound: La3PmHg6
Source: Alexandria via LeMat-Bulk
Functional: PBE
Structure: relaxed

Unit cell a=5.3062 b=9.6839 c=11.4828 alpha=106.93 beta=90.00 gamma=90.00
With the nearest neighbours (Å) after each atom.
Fractional positions:
Hg1 0.7500 0.7641 0.5042  2 La 3.19-3.26, 3 Pm 3.19-3.45, 1 Hg 3.34
Hg2 0.2500 0.6673 0.6974  1 Pm 3.11, 4 La 3.14-3.47, 2 Hg 3.29
Hg3 0.2500 0.8492 0.3095  3 Pm 3.28-3.31, 4 La 3.29-3.64, 1 Hg 3.44
Hg4 0.7500 0.8628 0.8083  7 Hg 3.26-3.44, 4 La 3.60-3.62
Hg5 0.2500 0.4658 0.0826  7 La 3.27-3.48, 2 Hg 3.44
Hg6 0.2500 0.2359 0.4958  2 La 3.19-3.26, 3 Pm 3.19-3.45, 1 Hg 3.34
Hg7 0.2500 0.0628 0.8909  1 Pm 3.12, 4 La 3.19-3.38, 3 Hg 3.26-3.32
Hg8 0.7500 0.1508 0.6905  3 Pm 3.28-3.31, 4 La 3.29-3.64, 1 Hg 3.44
Hg9 0.2500 0.1372 0.1917  7 Hg 3.26-3.44, 4 La 3.60-3.62
Hg10 0.7500 0.5342 0.9174  7 La 3.27-3.48, 2 Hg 3.44
Hg11 0.7500 0.3327 0.3026  1 Pm 3.11, 4 La 3.14-3.47, 2 Hg 3.29
Hg12 0.7500 0.9372 0.1091  1 Pm 3.12, 4 La 3.19-3.38, 3 Hg 3.26-3.32
La1 0.7500 0.6462 0.2147  8 Hg 3.19-3.47
La2 0.2500 0.5075 0.3820  5 Hg 3.14-3.50
La3 0.7500 0.2243 0.0121  8 Hg 3.19-3.55
La4 0.7500 0.4925 0.6180  5 Hg 3.14-3.50
La5 0.2500 0.7757 0.9879  8 Hg 3.19-3.55
La6 0.2500 0.3538 0.7853  8 Hg 3.19-3.47
Pm1 0.7500 0.0587 0.3924  8 Hg 3.11-3.45
Pm2 0.2500 0.9413 0.6076  8 Hg 3.11-3.45

Total DFT energy (no corrections) = -0.0953 hartree per atom
Space group = P2_1/m, No. 11
Magnetization = 0.00 μB per atom

(3)
Compound: Dy2Y2Tl
Source: Alexandria via LeMat-Bulk
Functional: PBE
Structure: relaxed

Unit cell a=8.3368 b=6.4009 c=8.7586 alpha=70.90 beta=59.84 gamma=49.37
With the nearest neighbours (Å) after each atom.
Fractional positions:
Dy1 0.2627 0.0000 0.5766  3 Dy 3.36-3.57, 6 Y 3.50-3.60, 2 Tl 3.59
Dy2 0.6053 0.0000 0.1185  4 Tl 3.31-3.67, 3 Dy 3.32-3.57, 4 Y 3.49-3.53
Dy3 0.3947 0.0000 0.8815  4 Tl 3.31-3.67, 3 Dy 3.32-3.57, 4 Y 3.49-3.53
Dy4 0.7373 0.0000 0.4234  3 Dy 3.36-3.57, 6 Y 3.50-3.60, 2 Tl 3.59
Y1 0.9720 0.3693 0.2812  2 Tl 3.06-3.32, 1 Y 3.38
Y2 0.6587 0.3693 0.7188  2 Tl 3.06-3.32, 1 Y 3.38
Y3 0.3413 0.6307 0.2812  2 Tl 3.06-3.32, 1 Y 3.38
Y4 0.0280 0.6307 0.7188  2 Tl 3.06-3.32, 1 Y 3.38
Tl1 0.8368 0.3263 0.0000  4 Y 3.06-3.32, 1 Tl 3.17, 2 Dy 3.31
Tl2 0.1632 0.6737 0.0000  4 Y 3.06-3.32, 1 Tl 3.17, 2 Dy 3.31

Total DFT energy (no corrections) = -0.1825 hartree per atom
Space group = C2/m, No. 12
Magnetization = 0.00 μB per atom

(4)
Compound: Mg2TeAu
Source: Alexandria via LeMat-Bulk
Functional: PBE
Structure: relaxed

Unit cell a=6.9987 b=6.9987 c=6.9987 alpha=147.91 beta=148.30 gamma=45.73
With the nearest neighbours (Å) after each atom.
Fractional positions:
Au1 0.2098 0.7098 0.5000  6 Mg 2.82-2.86
Te1 0.4599 0.4599 0.0000  6 Mg 2.96-3.02
Mg1 0.7791 0.2791 0.5000  4 Au 2.86, 2 Te 3.02
Mg2 0.0511 0.0511 0.0000  2 Au 2.82, 4 Te 2.96

Space group = Imm2, No. 44
Raw formation energy = -471 meV per atom
Magnetization = 0.00 μB per atom

(5)
Compound: TaCrH2
Source: Alexandria via LeMat-Bulk
Functional: PBE
Structure: relaxed

Unit cell a=2.8767 b=4.9349 c=9.4983 alpha=90.00 beta=90.00 gamma=90.00
With the nearest neighbours (Å) after each atom.
Fractional positions:
H1 0.7500 0.1725 0.7526  2 Cr 1.91-1.97, 2 Ta 2.12
H2 0.2500 0.2429 0.0019  3 Cr 1.80-1.95
H3 0.2500 0.7429 0.4981  3 Cr 1.80-1.95
H4 0.7500 0.7571 0.9981  3 Cr 1.80-1.95
H5 0.7500 0.2571 0.5019  3 Cr 1.80-1.95
H6 0.2500 0.3275 0.2526  2 Cr 1.91-1.97, 2 Ta 2.12
H7 0.7500 0.6725 0.7474  2 Cr 1.91-1.97, 2 Ta 2.12
H8 0.2500 0.8275 0.2474  2 Cr 1.91-1.97, 2 Ta 2.12
Cr1 0.2500 0.5632 0.0926  5 H 1.80-1.97
Cr2 0.7500 0.4368 0.9074  5 H 1.80-1.97
Cr3 0.2500 0.0632 0.4074  5 H 1.80-1.97
Cr4 0.7500 0.9368 0.5926  5 H 1.80-1.97
Ta1 0.7500 0.0728 0.1452  7 H 2.09-2.17
Ta2 0.7500 0.5728 0.3548  7 H 2.09-2.17
Ta3 0.2500 0.4272 0.6452  7 H 2.09-2.17
Ta4 0.2500 0.9272 0.8548  7 H 2.09-2.17

Offset from the most stable computed form = 0.0 meV/atom
Space group = Pnma, No. 62
Magnetization = 0.00 μB per atom

(6)
Compound: Hf5Ga2Sb2
Source: Alexandria via LeMat-Bulk
Functional: PBE
Structure: relaxed

Unit cell a=7.3475 b=7.3039 c=7.9794 alpha=90.00 beta=62.59 gamma=90.00
With the nearest neighbours (Å) after each atom.
Fractional positions:
Sb1 0.7078 0.5000 0.5843  7 Hf 2.93-2.98
Sb2 0.2078 0.0000 0.5843  7 Hf 2.93-2.98
Sb3 0.2922 0.5000 0.4157  7 Hf 2.93-2.98
Sb4 0.7922 0.0000 0.4157  7 Hf 2.93-2.98
Hf1 0.2068 0.1703 0.2528  3 Ga 2.76-2.84, 3 Sb 2.93-2.98
Hf2 0.7932 0.8297 0.7472  3 Ga 2.76-2.84, 3 Sb 2.93-2.98
Hf3 0.7068 0.3297 0.2528  3 Ga 2.76-2.84, 3 Sb 2.93-2.98
Hf4 0.0404 0.6703 0.2528  3 Ga 2.76-2.84, 3 Sb 2.93-2.98
Hf5 0.9596 0.3297 0.7472  3 Ga 2.76-2.84, 3 Sb 2.93-2.98
Hf6 0.5000 0.5000 0.0000  4 Ga 2.87-2.88, 2 Sb 2.94
Hf7 0.5404 0.8297 0.2528  3 Ga 2.76-2.84, 3 Sb 2.93-2.98
Hf8 0.2932 0.6703 0.7472  3 Ga 2.76-2.84, 3 Sb 2.93-2.98
Hf9 0.0000 0.0000 0.0000  4 Ga 2.87-2.88, 2 Sb 2.94
Hf10 0.4596 0.1703 0.7472  3 Ga 2.76-2.84, 3 Sb 2.93-2.98
Ga1 0.6299 0.1277 0.0000  1 Ga 2.67, 8 Hf 2.76-2.88
Ga2 0.8701 0.6277 0.0000  1 Ga 2.67, 8 Hf 2.76-2.88
Ga3 0.3701 0.8723 0.0000  1 Ga 2.67, 8 Hf 2.76-2.88
Ga4 0.1299 0.3723 0.0000  1 Ga 2.67, 8 Hf 2.76-2.88

Space group = Cmce, No. 64
Raw formation energy = -529 meV per atom
Magnetization = 0.00 μB per atom

(7)
Compound: PmY6Ho3Er2
Source: Alexandria via LeMat-Bulk
Functional: PBE
Structure: relaxed

Unit cell a=6.1548 b=6.1548 c=11.7869 alpha=94.97 beta=94.97 gamma=119.94
With the nearest neighbours (Å) after each atom.
Fractional positions:
Y1 0.9160 0.5821 0.7492  3 Ho 3.54-3.55, 6 Y 3.55-3.56, 2 Er 3.56, 1 Pm 3.57
Y2 0.5821 0.9160 0.7492  3 Ho 3.54-3.55, 6 Y 3.55-3.56, 2 Er 3.56, 1 Pm 3.57
Y3 0.7500 0.7500 0.2507  3 Ho 3.55, 6 Y 3.55-3.56, 2 Er 3.56, 1 Pm 3.56
Y4 0.4179 0.0840 0.2508  3 Ho 3.54-3.55, 6 Y 3.55-3.56, 2 Er 3.56, 1 Pm 3.57
Y5 0.2500 0.2500 0.7493  3 Ho 3.55, 6 Y 3.55-3.56, 2 Er 3.56, 1 Pm 3.56
Y6 0.0840 0.4179 0.2508  3 Ho 3.54-3.55, 6 Y 3.55-3.56, 2 Er 3.56, 1 Pm 3.57
Er1 0.3334 0.6666 0.0000  3 Er 3.55-3.56, 3 Pm 3.55-3.56, 6 Y 3.56
Er2 0.6666 0.3334 0.0000  3 Er 3.55-3.56, 3 Pm 3.55-3.56, 6 Y 3.56
Ho1 0.8330 0.1670 0.5000  6 Y 3.54-3.55, 6 Ho 3.55-3.56
Ho2 0.1670 0.8330 0.5000  6 Y 3.54-3.55, 6 Ho 3.55-3.56
Ho3 0.5000 0.5000 0.5000  6 Y 3.55, 6 Ho 3.55-3.56
Pm1 0.0000 0.0000 0.0000  6 Er 3.55-3.56, 6 Y 3.56-3.57

Total DFT energy (no corrections) = -0.2025 hartree per atom
Space group = C2/m, No. 12
Magnetization = 0.00 μB per atom

(8)
Compound: ReSb2Rh
Source: Alexandria via LeMat-Bulk
Functional: PBE
Structure: relaxed

Unit cell a=3.2154 b=4.5031 c=5.5501 alpha=66.17 beta=90.00 gamma=90.00
With the nearest neighbours (Å) after each atom.
Fractional positions:
Sb1 0.5000 0.5000 0.5000  4 Rh 2.77, 2 Re 2.78
Sb2 0.0000 0.0000 0.0000  4 Re 2.77, 2 Rh 2.78
Re1 0.5000 0.5000 0.0000  6 Sb 2.77-2.78
Rh1 0.0000 0.0000 0.5000  6 Sb 2.77-2.78

Offset from the most stable computed form = 105.6 meV/atom
Space group = P2/m, No. 10
Raw formation energy = 256 meV per atom
Magnetization = 0.00 μB per atom